# Tl2CrSe PBE-GGA relaxed
# - raw formation energy (meV/atom) = 167
# - E (eV per atom) = -4.293
# - energy above the most stable polymorph in this dataset (meV/atom) = 184
data_Tl2CrSe
_space_group_name_H-M_alt 'P 1 2/m 1'
_space_group_IT_number 10
_space_group_name_Hall '-P 2y'
_cell_length_a 4.814
_cell_length_b 3.953
_cell_length_c 6.326
_cell_angle_alpha 90.00
_cell_angle_beta 95.44
_cell_angle_gamma 90.00
loop_
_atom_site_label
_atom_site_fract_x
_atom_site_fract_y
_atom_site_fract_z
Tl1 0.243 0.000 0.328
Cr1 0.000 0.500 0.000
Se1 0.500 0.500 0.000